A relaxed structure of Lu2BiAs, computed with GGA-PBE. Values from VASP.

Cell and atoms, written as Quantum ESPRESSO input:
```
&SYSTEM
  ibrav = 0, nat = 4, ntyp = 3
/
ATOMIC_SPECIES
Lu 174.97 Lu.upf
As 74.92 As.upf
Bi 208.98 Bi.upf
CELL_PARAMETERS angstrom
3.8749 0.0000 0.0000
1.9374 3.3557 0.0000
1.9374 1.1186 9.2620
ATOMIC_POSITIONS crystal
Lu 0.8909 0.8909 0.3272
Lu 0.1091 0.1091 0.6728
As 0.5000 0.5000 0.5000
Bi 0.0000 0.0000 0.0000
```

Properties
- Space-group type: No. 166
- E_tot: -19.9 eV/f.u.
- ΔE_f: -589.6 meV per atom

=====

A relaxed structure of K3Np2PaS6, computed with GGA-PBE. Values from VASP.

Cell and atoms, written as Quantum ESPRESSO input:
```
&SYSTEM
  ibrav = 0, nat = 12, ntyp = 4
/
ATOMIC_SPECIES
S 32.06 S.upf
Np 237.00 Np.upf
K 39.10 K.upf
Pa 231.04 Pa.upf
CELL_PARAMETERS angstrom
-4.2836 4.7295 -2.9594
-2.6449 -5.9208 2.7247
1.5075 3.7717 6.6325
ATOMIC_POSITIONS crystal
S 0.2602 0.2602 0.7963
S 0.9321 0.6039 0.7963
S 0.7398 0.7398 0.2037
S 0.0679 0.3961 0.2037
Np 0.6666 0.3334 0.0000
S 0.3961 0.0679 0.2037
K 0.8323 0.1677 0.5000
S 0.6039 0.9321 0.7963
Pa 0.0000 0.0000 0.0000
K 0.1677 0.8323 0.5000
K 0.5000 0.5000 0.5000
Np 0.3334 0.6666 0.0000
```

Properties
- Space-group type: No. 12
- Raw formation energy: -1.443 eV per atom
- E_tot: -80.8 eV/f.u.

=====

A relaxed structure of TiClO2, computed with GGA-PBE. Values from VASP.

Cell and atoms, written as Quantum ESPRESSO input:
```
&SYSTEM
  ibrav = 0, nat = 4, ntyp = 3
/
ATOMIC_SPECIES
Ti 47.87 Ti.upf
O 16.00 O.upf
Cl 35.45 Cl.upf
CELL_PARAMETERS angstrom
1.6938 0.0000 8.2920
-0.8469 1.4668 8.2920
-0.8469 -1.4668 8.2920
ATOMIC_POSITIONS crystal
Ti 0.5000 0.5000 0.5000
O 0.1268 0.1268 0.1268
O 0.8732 0.8732 0.8732
Cl 0.0000 0.0000 0.0000
```

Properties
- Space-group type: No. 166
- Relative energy among the computed polymorphs: 0.000 eV per atom
- Raw formation energy: -1.956 eV per atom
- E_tot: -27.5 eV/f.u.

=====

A relaxed structure of ThTl2Pd8, computed with GGA-PBE. Values from VASP.

Cell and atoms, written as Quantum ESPRESSO input:
```
&SYSTEM
  ibrav = 0, nat = 11, ntyp = 3
/
ATOMIC_SPECIES
Pd 106.42 Pd.upf
Th 232.04 Th.upf
Tl 204.38 Tl.upf
CELL_PARAMETERS angstrom
5.1114 -0.6725 -1.0094
-1.8210 7.4350 -0.7406
-1.8210 -3.5470 6.5762
ATOMIC_POSITIONS crystal
Pd 0.5000 0.2177 0.7823
Pd 0.3128 0.5726 0.5726
Th 0.5000 0.0000 0.0000
Tl 0.0000 0.6919 0.3081
Pd 0.6872 0.4274 0.4274
Pd 0.1226 0.0981 0.3277
Tl 0.0000 0.3081 0.6919
Pd 0.5000 0.7823 0.2177
Pd 0.8774 0.9019 0.6723
Pd 0.8774 0.6723 0.9019
Pd 0.1226 0.3277 0.0981
```

Properties
- Space-group type: No. 12
- Relative energy among the computed polymorphs: 0.070 eV per atom
- E_tot: -57.6 eV/f.u.
- ΔE_f: -351.2 meV per atom

=====

no.,D(E_F) (states/eV/f.u.)
1,2.84
2,21.84
3,1.62
4,4.69